Density functional theory data (PBE) for a relaxed Mn2ZnNi crystal.

abc: 4.627 4.627 4.438
angles: 76.89 76.89 34.40
Atoms (fractional coordinates):
Mn  0.998  0.998  0.011
Mn  0.757  0.757  0.734
Ni  0.502  0.502  0.509
Zn  0.243  0.243  0.246

Results
As for the total energy: -6.269 eV/atom. The calculation puts the volume at 52.2 Å³/f.u. As for the magnetic moment: 7.3 Bohr magnetons per cell. Its formation energy from the elements is 0.080 eV/atom.